(1)
The following is a PBE calculation of crystalline Ac2In3Hg4 at its relaxed geometry, from the Alexandria database.

Calculated values
The relative energy among the computed polymorphs is 0 meV per atom. For the formation energy, the calculation gives -8.57 kcal/mol of atoms. For the density of states at the Fermi level, the calculation gives 0.479 states/eV per atom. The density is 10.29 g/cm3.

Lattice parameters (Å, degrees): 5.1356 5.1356 11.3109 90.00 90.00 120.00
Space group P-3m1 (No. 164)
Inequivalent atoms, fractional coordinates:
1 Ac 0.3333 0.6667 0.2215 x2
2 In 0.0000 0.0000 0.0000 x1
3 In 0.3333 0.6667 0.5574 x2
4 Hg 0.0000 0.0000 0.3556 x2
5 Hg 0.3333 0.6667 0.9097 x2

---

(2)
The following is a PBE calculation of crystalline ErZrSc5 at its relaxed geometry, from the Alexandria database.

Calculated values
For the formation energy, the calculation gives 5.17 kcal/mol of atoms. For the density of states at the Fermi level, the calculation gives 1.606 states/eV per atom. The density is 4.45 g/cm3.

Lattice parameters (Å, degrees): 10.2025 11.6403 6.4344 90.00 109.32 90.00
Space group C2/c (No. 15)
Inequivalent atoms, fractional coordinates:
1 Er 0.0000 0.1517 0.2500 x4
2 Zr 0.2500 0.2500 0.0000 x4
3 Sc 0.0000 0.1151 0.7500 x4
4 Sc 0.0335 0.3685 0.5417 x8
5 Sc 0.2476 0.4717 0.3559 x8

---

(3)
The following is a PBE calculation of crystalline Tb2MgGe3Ir4 at its relaxed geometry, from the Alexandria database.

Calculated values
For the formation energy, the calculation gives -16.83 kcal/mol of atoms. For the density of states at the Fermi level, the calculation gives 0.544 states/eV per atom. The density is 11.99 g/cm3.

Lattice parameters (Å, degrees): 4.1143 4.1143 10.8766 90.00 90.00 90.00
Space group P-4m2 (No. 115)
Inequivalent atoms, fractional coordinates:
1 Tb 0.0000 0.5000 0.2393 x2
2 Mg 0.0000 0.0000 0.5000 x1
3 Ge 0.0000 0.5000 0.8721 x2
4 Ge 0.5000 0.5000 0.5000 x1
5 Ir 0.0000 0.0000 0.0000 x1
6 Ir 0.0000 0.5000 0.6476 x2
7 Ir 0.5000 0.5000 0.0000 x1

---

(4)
The following is a PBE calculation of crystalline BaLa2Si at its relaxed geometry, from the Alexandria database.

Calculated values
The uncorrected formation energy is -0.189 eV per atom. For the density of states at the Fermi level, the calculation gives 0.943 states/eV per atom. The density is 5.22 g/cm3.

Lattice parameters (Å, degrees): 4.1183 4.1085 8.3277 90.00 90.06 90.00
Space group Pm (No. 6)
Inequivalent atoms, fractional coordinates:
1 Ba 0.0000 0.0000 0.0000 x1
2 La 0.0009 0.0000 0.5924 x1
3 La 0.5017 0.5000 0.3820 x1
4 Si 0.5008 0.5000 0.7420 x1

---

(5)
The following is a PBE calculation of crystalline Pu3TlPb2 at its relaxed geometry, from the Alexandria database.

Calculated values
For the formation energy, the calculation gives -0.46 kcal/mol of atoms. For the density of states at the Fermi level, the calculation gives 5.195 states/eV per atom. The density is 13.38 g/cm3.

Lattice parameters (Å, degrees): 4.1245 4.1245 9.8565 90.00 90.00 90.00
Space group P4/mmm (No. 123)
Inequivalent atoms, fractional coordinates:
1 Pu 0.0000 0.0000 0.0000 x1
2 Pu 0.0000 0.0000 0.3283 x2
3 Tl 0.5000 0.5000 0.5000 x1
4 Pb 0.5000 0.5000 0.1651 x2

---

(6)
The following is a PBE calculation of crystalline ZnCrHg2 at its relaxed geometry, from the Alexandria database.

Calculated values
The relative energy among the computed polymorphs is 23 meV per atom. For the formation energy, the calculation gives 7.22 kcal/mol of atoms. For the density of states at the Fermi level, the calculation gives 0.472 states/eV per atom. The density is 11.25 g/cm3.

Lattice parameters (Å, degrees): 3.2286 4.6890 5.0570 90.00 90.00 90.00
Space group Pmm2 (No. 25)
Inequivalent atoms, fractional coordinates:
1 Zn 0.0000 0.0000 0.0000 x1
2 Cr 0.0000 0.5000 0.6660 x1
3 Hg 0.5000 0.0000 0.5260 x1
4 Hg 0.5000 0.5000 0.1492 x1

---

(7)
The following is a PBE calculation of crystalline BeV2HIr at its relaxed geometry, from the Alexandria database.

Calculated values
For the final energy, the calculation gives -0.259 hartree per atom. For the density of states at the Fermi level, the calculation gives 0.559 states/eV per atom. The density is 9.71 g/cm3.

Lattice parameters (Å, degrees): 3.6251 3.6251 3.9578 90.00 90.00 90.00
Space group P4/mmm (No. 123)
Inequivalent atoms, fractional coordinates:
1 Be 0.0000 0.0000 0.0000 x1
2 V 0.0000 0.5000 0.5000 x2
3 H 0.0000 0.0000 0.5000 x1
4 Ir 0.5000 0.5000 0.0000 x1

---

(8)
The following is a PBE calculation of crystalline Li9CaMg3 at its relaxed geometry, from the Alexandria database.

Calculated values
For the formation energy, the calculation gives -0.10 kcal/mol of atoms. For the density of states at the Fermi level, the calculation gives 0.529 states/eV per atom. The density is 0.98 g/cm3.

Lattice parameters (Å, degrees): 5.9147 14.2457 7.5460 90.00 110.56 90.00
Space group C2/m (No. 12)
Inequivalent atoms, fractional coordinates:
1 Li 0.0000 0.0000 0.0000 x2
2 Li 0.1014 0.1067 0.7169 x8
3 Li 0.1685 0.3215 0.8569 x8
4 Ca 0.0000 0.5000 0.5000 x2
5 Mg 0.0000 0.5000 0.0000 x2
6 Mg 0.2500 0.2500 0.5000 x4

---

(9)
The following is a PBE calculation of crystalline SrRhI3 at its relaxed geometry, from the Alexandria database.

Calculated values
The uncorrected formation energy is 0.015 eV per atom. The relative energy among the computed polymorphs is 693 meV per atom. For the density of states at the Fermi level, the calculation gives 4.497 states/eV per atom. The density is 3.72 g/cm3.

Lattice parameters (Å, degrees): 6.3425 6.3425 6.3425 90.00 90.00 90.00
Space group Pm-3m (No. 221)
Inequivalent atoms, fractional coordinates:
1 Sr 0.0000 0.0000 0.0000 x1
2 Rh 0.5000 0.5000 0.5000 x1
3 I 0.0000 0.0000 0.5000 x3

---

(10)
The following is a PBE calculation of crystalline KWBr2 at its relaxed geometry, from the Alexandria database.

Calculated values
The uncorrected formation energy is 1.003 eV per atom. The relative energy among the computed polymorphs is 817 meV per atom. For the density of states at the Fermi level, the calculation gives 1.753 states/eV per atom. The density is 5.43 g/cm3.

Lattice parameters (Å, degrees): 7.7628 7.7628 7.7628 90.00 90.00 90.00
Space group F-43m (No. 216)
Inequivalent atoms, fractional coordinates:
1 K 0.0000 0.0000 0.0000 x4
2 W 0.2500 0.2500 0.7500 x4
3 Br 0.0000 0.0000 0.5000 x4
4 Br 0.2500 0.2500 0.2500 x4

---

(11)
The following is a PBE calculation of crystalline K3As2H8 at its relaxed geometry, from the Alexandria database.

Calculated values
For the final energy, the calculation gives -0.103 hartree per atom. For the density of states at the Fermi level, the calculation gives 0.382 states/eV per atom. The density is 1.91 g/cm3.

Lattice parameters (Å, degrees): 6.2072 6.2072 21.5660 90.00 90.00 120.00
Space group R-3m (No. 166, hexagonal axes)
Inequivalent atoms, fractional coordinates:
1 K 0.0000 0.0000 0.0000 x3
2 K 0.0000 0.0000 0.2044 x6
3 As 0.0000 0.0000 0.4304 x6
4 H 0.0000 0.0000 0.3576 x6
5 H 0.0154 0.5077 0.7614 x18

---

(12)
The following is a PBE calculation of crystalline NiP2Au2 at its relaxed geometry, from the Alexandria database.

Calculated values
For the formation energy, the calculation gives -3.09 kcal/mol of atoms. For the density of states at the Fermi level, the calculation gives 0.394 states/eV per atom. The density is 10.54 g/cm3.

Lattice parameters (Å, degrees): 5.7024 5.7024 4.9840 90.00 90.00 90.00
Space group P4/mbm (No. 127)
Inequivalent atoms, fractional coordinates:
1 Ni 0.0000 0.0000 0.0000 x2
2 P 0.1395 0.3605 0.0000 x4
3 Au 0.1781 0.3219 0.5000 x4